Record 1
The following is a DFT calculation (meta-GGA SCAN) of a PBEsol-optimized structure of HoBiO3.

a b c (Å): 6.1387 8.3033 5.7250
angles (deg): 90.00 90.00 90.00
Closest atoms and distances in Å follow each position.
Space group Pnma (No. 62)
One atom of each set of equivalent atoms:
Ho: 0.0000 0.0000 0.0000 [4 per cell]  6 O 2.25-2.26
Bi: 0.0395 0.2500 0.4881 [4 per cell]  3 O 2.19-2.24
O: 0.0533 0.7500 0.1421 [4 per cell]  1 Bi 2.19, 2 Ho 2.25
O: 0.1812 0.5652 0.6689 [8 per cell]  1 Bi 2.24, 2 Ho 2.25-2.26



Record 2
The following is a DFT calculation (meta-GGA SCAN) of a PBEsol-optimized structure of HoBi12O20.

a b c (Å): 10.1073 10.1073 10.1073
angles (deg): 90.00 90.00 90.00
Closest atoms and distances in Å follow each position.
Space group I23 (No. 197)
One atom of each set of equivalent atoms:
Ho: 0.0000 0.0000 0.0000 [2 per cell]  4 O 2.17
Bi: 0.0020 0.1716 0.3193 [24 per cell]  3 O 2.10-2.31
O: 0.0128 0.3665 0.7526 [24 per cell]  2 Bi 2.10-2.31
O: 0.1239 0.1239 0.8761 [8 per cell]  1 Ho 2.17, 3 Bi 2.40
O: 0.1650 0.1650 0.1650 [8 per cell]  3 Bi 2.27



Record-wise ΔE_f (raw) values, in eV per formula unit: -12.57, -42.30